Entry 1:
Below is a crystal of HoSi2Ni10 relaxed with PBEsol, with properties calculated at the meta-GGA SCAN level.

Unit cell a=8.0506 b=8.0506 c=4.6091 alpha=90.00 beta=90.00 gamma=90.00
Last column: nearest neighbours and their distance in Å.
Space group P4/nmm (No. 129, origin choice 2)
One atom of each set of equivalent atoms:
Ho 0.2500 0.2500 0.2206  16 Ni 2.84-3.02, 4 Si 3.12
Si 0.0000 0.0000 0.5000  10 Ni 2.29-2.49
Ni 0.0000 0.0000 0.0000  2 Si 2.30, 8 Ni 2.38-2.44
Ni 0.0272 0.2500 0.7302  2 Si 2.29, 7 Ni 2.38-2.54
Ni 0.1031 0.7500 0.7612  7 Ni 2.37-2.57, 2 Si 2.49

Uncorrected energy   -18.185 eV/atom
Formation energy without anion corrections   -0.435 eV/atom
M_tot   0.0001 μB/atom

Entry 2:
Below is a crystal of TiPd2N2 relaxed with PBEsol, with properties calculated at the meta-GGA SCAN level.

Unit cell a=3.7589 b=3.7589 c=8.4040 alpha=90.00 beta=90.00 gamma=90.00
Last column: nearest neighbours and their distance in Å.
Space group I4/mmm (No. 139)
One atom of each set of equivalent atoms:
Ti 0.0000 0.0000 0.0000  8 N 2.73, 8 Pd 2.82
Pd 0.0000 0.5000 0.2500  4 N 2.38, 4 Pd 2.66
N 0.0000 0.0000 0.4243  1 N 1.27

Uncorrected energy   -19.530 eV/atom
Formation energy without anion corrections   0.502 eV/atom
M_tot   0.0008 μB/atom

Entry 3:
Below is a crystal of LiCa5 relaxed with PBEsol, with properties calculated at the meta-GGA SCAN level.

Unit cell a=6.5391 b=6.5391 c=6.1682 alpha=90.00 beta=90.00 gamma=120.00
Last column: nearest neighbours and their distance in Å.
Space group P-62m (No. 189)
One atom of each set of equivalent atoms:
Li 0.0000 0.0000 0.0000  12 Ca 3.75-3.78
Ca 0.0000 0.3260 0.5000  10 Ca 3.69-3.82, 2 Li 3.75
Ca 0.3333 0.6667 0.0000  3 Li 3.78, 9 Ca 3.78-3.79

Uncorrected energy   -8.404 eV/atom
M_tot   0.0287 μB/atom
Formation enthalpy at 0 K   0.3 eV/f.u.
Offset from the most stable computed form   34 meV/atom

Entry 4:
Below is a crystal of MnTlSe2N relaxed with PBEsol, with properties calculated at the meta-GGA SCAN level.

Unit cell a=5.0850 b=5.0850 c=3.4694 alpha=90.00 beta=90.00 gamma=90.00
Last column: nearest neighbours and their distance in Å.
Space group P4/mmm (No. 123)
One atom of each set of equivalent atoms:
Mn 0.0000 0.0000 0.0000  2 N 1.73
Tl 0.5000 0.5000 0.5000  8 Se 3.08
Se 0.0000 0.5000 0.0000  2 Mn 2.54
N 0.0000 0.0000 0.5000  2 Mn 1.73

Uncorrected energy   -28.018 eV/atom
Formation energy without anion corrections   -0.006 eV/atom
M_tot   0.3304 μB/atom
Offset from the most stable computed form   0 meV/atom

Entry 5:
Below is a crystal of LiCd2Ni relaxed with PBEsol, with properties calculated at the meta-GGA SCAN level.

Unit cell a=6.2433 b=6.2433 c=6.2433 alpha=90.00 beta=90.00 gamma=90.00
Last column: nearest neighbours and their distance in Å.
Space group Fm-3m (No. 225)
One atom of each set of equivalent atoms:
Li 0.0000 0.0000 0.0000  8 Cd 2.70
Cd 0.2500 0.2500 0.2500  4 Li 2.70, 4 Ni 2.70
Ni 0.0000 0.0000 0.5000  8 Cd 2.70

Uncorrected energy   -19.971 eV/atom
M_tot   0.0001 μB/atom
Formation enthalpy at 0 K   -0.5 eV/f.u.
Offset from the most stable computed form   0 meV/atom

Entry 6:
Below is a crystal of Ta2CBr relaxed with PBEsol, with properties calculated at the meta-GGA SCAN level.

Unit cell a=5.1824 b=5.1824 c=11.1746 alpha=90.00 beta=90.00 gamma=90.00
Last column: nearest neighbours and their distance in Å.
Space group I-42d (No. 122)
One atom of each set of equivalent atoms:
Ta 0.1415 0.2500 0.1250  2 C 2.04
C 0.0000 0.0000 0.0000  4 Ta 2.04
Br 0.0000 0.0000 0.5000  4 Ta 2.66

Uncorrected energy   -40.082 eV/atom
Formation energy without anion corrections   0.600 eV/atom
M_tot   0.0000 μB/atom

Entry 7:
Below is a crystal of CsLaBe2Al relaxed with PBEsol, with properties calculated at the meta-GGA SCAN level.

Unit cell a=4.9337 b=4.9337 c=5.7475 alpha=90.00 beta=90.00 gamma=90.00
Last column: nearest neighbours and their distance in Å.
Space group P4/mmm (No. 123)
One atom of each set of equivalent atoms:
Cs 0.0000 0.0000 0.0000  4 Be 2.47
La 0.0000 0.0000 0.5000  2 Cs 2.87
Be 0.0000 0.5000 0.0000  2 Cs 2.47
Al 0.5000 0.5000 0.5000  4 La 3.49, 8 Be 3.79

Uncorrected energy   -17.523 eV/atom
M_tot   0.0000 μB/atom
Formation enthalpy at 0 K   9.8 eV/f.u.

Entry 8:
Below is a crystal of Rb2PrI5 relaxed with PBEsol, with properties calculated at the meta-GGA SCAN level.

Unit cell a=14.4153 b=9.9153 c=9.2048 alpha=90.00 beta=90.00 gamma=90.00
Last column: nearest neighbours and their distance in Å.
Space group Pnma (No. 62)
One atom of each set of equivalent atoms:
Rb 0.1712 0.0080 0.0769  8 I 3.63-4.04
Pr 0.0071 0.2500 0.5806  7 I 3.14-3.26
I 0.0076 0.2500 0.9272  1 Pr 3.19
I 0.0673 0.5483 0.6741  2 Pr 3.20-3.26
I 0.1884 0.2500 0.3893  1 Pr 3.15
I 0.2065 0.7500 0.3523  1 Pr 3.14

Uncorrected energy   -35.225 eV/atom
Formation energy without anion corrections   -1.661 eV/atom
M_tot   0.0000 μB/atom

Entry 9:
Below is a crystal of Ba2FeGeO relaxed with PBEsol, with properties calculated at the meta-GGA SCAN level.

Unit cell a=6.1972 b=6.1972 c=3.9175 alpha=90.00 beta=90.00 gamma=90.00
Last column: nearest neighbours and their distance in Å.
Space group P4/mmm (No. 123)
One atom of each set of equivalent atoms:
Ba 0.0000 0.5000 0.0000  2 Ge 3.10
Fe 0.0000 0.0000 0.5000  8 Ba 3.67, 2 Fe 3.92
Ge 0.5000 0.5000 0.0000  2 O 1.96
O 0.5000 0.5000 0.5000  2 Ge 1.96

Uncorrected energy   -24.350 eV/atom
Formation energy without anion corrections   0.160 eV/atom
M_tot   0.5715 μB/atom

Entry 10:
Below is a crystal of HfZnH3 relaxed with PBEsol, with properties calculated at the meta-GGA SCAN level.

Unit cell a=3.4829 b=3.4829 c=3.4829 alpha=90.00 beta=90.00 gamma=90.00
Last column: nearest neighbours and their distance in Å.
Space group Pm-3m (No. 221)
One atom of each set of equivalent atoms:
Hf 0.0000 0.0000 0.0000  12 H 2.46
Zn 0.5000 0.5000 0.5000  6 H 1.74
H 0.0000 0.5000 0.5000  2 Zn 1.74

Uncorrected energy   -16.938 eV/atom
M_tot   0.0000 μB/atom

Entry 11:
Below is a crystal of DyAl relaxed with PBEsol, with properties calculated at the meta-GGA SCAN level.

Unit cell a=3.5525 b=3.5525 c=3.5525 alpha=90.00 beta=90.00 gamma=90.00
Last column: nearest neighbours and their distance in Å.
Space group Pm-3m (No. 221)
One atom of each set of equivalent atoms:
Dy 0.0000 0.0000 0.0000  8 Al 3.08
Al 0.5000 0.5000 0.5000  8 Dy 3.08

Uncorrected energy   -28.194 eV/atom
M_tot   0.0000 μB/atom
Formation enthalpy at 0 K   -0.8 eV/f.u.

Entry 12:
Below is a crystal of Sr2ScNi relaxed with PBEsol, with properties calculated at the meta-GGA SCAN level.

Unit cell a=7.6403 b=7.6403 c=7.6403 alpha=90.00 beta=90.00 gamma=90.00
Last column: nearest neighbours and their distance in Å.
Space group Fm-3m (No. 225)
One atom of each set of equivalent atoms:
Sr 0.2500 0.2500 0.2500  4 Ni 3.31, 4 Sc 3.31
Sc 0.0000 0.0000 0.0000  8 Sr 3.31
Ni 0.0000 0.0000 0.5000  8 Sr 3.31

Uncorrected energy   -18.130 eV/atom
M_tot   0.1249 μB/atom
Formation enthalpy at 0 K   2.4 eV/f.u.
Offset from the most stable computed form   275 meV/atom

Entry 13:
Below is a crystal of LiCu2S3O12 relaxed with PBEsol, with properties calculated at the meta-GGA SCAN level.

Unit cell a=8.4989 b=8.4989 c=20.5291 alpha=90.00 beta=90.00 gamma=120.00
Last column: nearest neighbours and their distance in Å.
Space group R-3c (No. 167, hexagonal axes)
One atom of each set of equivalent atoms:
Li 0.0000 0.0000 0.0000  6 O 2.19
Cu 0.0000 0.0000 0.1442  6 O 1.97-2.04
S 0.0000 0.2979 0.2500  4 O 1.47-1.49
O 0.0041 0.2061 0.3100  1 S 1.47
O 0.0173 0.1855 0.9227  1 S 1.49

Uncorrected energy   -8.983 eV/atom
Formation energy without anion corrections   -1.403 eV/atom
M_tot   0.1667 μB/atom

Entry 14:
Below is a crystal of Mg2Tl relaxed with PBEsol, with properties calculated at the meta-GGA SCAN level.

Unit cell a=3.7587 b=3.7587 c=9.8622 alpha=90.00 beta=90.00 gamma=90.00
Last column: nearest neighbours and their distance in Å.
Space group I4/mmm (No. 139)
One atom of each set of equivalent atoms:
Mg 0.0000 0.0000 0.1641  5 Tl 3.11-3.31, 5 Mg 3.15-3.24
Tl 0.0000 0.0000 0.5000  10 Mg 3.11-3.31

Uncorrected energy   -27.548 eV/atom
M_tot   0.0000 μB/atom
Formation enthalpy at 0 K   -0.3 eV/f.u.

Entry 15:
Below is a crystal of MgSn3Ru relaxed with PBEsol, with properties calculated at the meta-GGA SCAN level.

Unit cell a=5.0866 b=5.0866 c=5.0866 alpha=90.00 beta=90.00 gamma=90.00
Last column: nearest neighbours and their distance in Å.
Space group Pm-3m (No. 221)
One atom of each set of equivalent atoms:
Mg 0.0000 0.0000 0.0000  12 Sn 3.60
Sn 0.0000 0.5000 0.5000  2 Ru 2.54
Ru 0.5000 0.5000 0.5000  6 Sn 2.54

Uncorrected energy   -29.290 eV/atom
M_tot   0.0000 μB/atom
Formation enthalpy at 0 K   1.1 eV/f.u.

Entry 16:
Below is a crystal of SrCoIr2 relaxed with PBEsol, with properties calculated at the meta-GGA SCAN level.

Unit cell a=2.8876 b=2.8876 c=7.8882 alpha=90.00 beta=90.00 gamma=90.00
Last column: nearest neighbours and their distance in Å.
Space group P4mm (No. 99)
One atom of each set of equivalent atoms:
Sr 0.0000 0.0000 0.0000  4 Sr 2.89, 4 Co 3.09, 4 Ir 3.17
Co 0.5000 0.5000 0.2944  4 Ir 2.49
Ir 0.0000 0.0000 0.4753  4 Co 2.49, 4 Ir 2.67
Ir 0.5000 0.5000 0.6925  8 Ir 2.67-2.89

Uncorrected energy   -45.038 eV/atom
M_tot   0.2672 μB/atom
Formation enthalpy at 0 K   1.6 eV/f.u.
Offset from the most stable computed form   661 meV/atom

Entry 17:
Below is a crystal of BWN3 relaxed with PBEsol, with properties calculated at the meta-GGA SCAN level.

Unit cell a=3.3373 b=3.3373 c=3.3373 alpha=90.00 beta=90.00 gamma=90.00
Last column: nearest neighbours and their distance in Å.
Space group Pm-3m (No. 221)
One atom of each set of equivalent atoms:
B 0.0000 0.0000 0.0000  6 N 1.67
W 0.5000 0.5000 0.5000  12 N 2.36
N 0.0000 0.0000 0.5000  2 B 1.67

Uncorrected energy   -19.843 eV/atom
Formation energy without anion corrections   1.155 eV/atom
M_tot   0.0000 μB/atom

Entry 18:
Below is a crystal of YReNi3 relaxed with PBEsol, with properties calculated at the meta-GGA SCAN level.

Unit cell a=4.4764 b=4.4764 c=4.4764 alpha=90.00 beta=90.00 gamma=90.00
Last column: nearest neighbours and their distance in Å.
Space group Pm-3m (No. 221)
One atom of each set of equivalent atoms:
Y 0.0000 0.0000 0.0000  12 Ni 3.17
Re 0.5000 0.5000 0.5000  6 Ni 2.24
Ni 0.0000 0.5000 0.5000  2 Re 2.24

Uncorrected energy   -28.962 eV/atom
M_tot   0.0000 μB/atom
Formation enthalpy at 0 K   2.6 eV/f.u.
Offset from the most stable computed form   0 meV/atom

Entry 19:
Below is a crystal of KLiPH2O4F relaxed with PBEsol, with properties calculated at the meta-GGA SCAN level.

Unit cell a=5.4050 b=7.3671 c=12.3494 alpha=90.00 beta=108.60 gamma=90.00
Last column: nearest neighbours and their distance in Å.
Space group P2_1/c (No. 14)
One atom of each set of equivalent atoms:
K 0.1646 0.2235 0.3424  1 F 2.70, 5 O 2.70-2.89, 1 H 2.86
Li 0.3210 0.0410 0.6392  4 O 1.92-1.97
P 0.2422 0.7281 0.9493  3 O 1.51-1.53, 1 F 1.61
H 0.3632 0.6000 0.6564  1 O 1.00
H 0.4600 0.1048 0.1554  1 O 1.00
O 0.0223 0.6209 0.8679  1 P 1.51
O 0.2716 0.7062 0.0758  1 P 1.53
O 0.4487 0.0028 0.2074  2 H 1.00
O 0.4979 0.2170 0.5743  1 P 1.53, 1 H 1.70
F 0.1566 0.5627 0.4230  1 P 1.61

Uncorrected energy   -7.845 eV/atom
M_tot   0.0000 μB/atom

Entry 20:
Below is a crystal of Zr6Ni7 relaxed with PBEsol, with properties calculated at the meta-GGA SCAN level.

Unit cell a=4.9661 b=4.9661 c=27.3263 alpha=90.00 beta=90.00 gamma=120.00
Last column: nearest neighbours and their distance in Å.
Space group R-3m (No. 166, hexagonal axes)
One atom of each set of equivalent atoms:
Zr 0.0000 0.0000 0.0536  6 Ni 2.69, 2 Zr 2.93-2.94
Zr 0.0000 0.0000 0.1612  6 Ni 2.64-2.87, 4 Zr 2.88-2.94
Zr 0.0000 0.0000 0.3320  6 Ni 2.87-2.90, 6 Zr 2.87-3.20
Ni 0.0000 0.0000 0.5000  6 Ni 2.49
Ni 0.0066 0.5033 0.0916  5 Ni 2.43-2.53, 3 Zr 2.64-2.69

Uncorrected energy   -23.265 eV/atom
M_tot   0.0000 μB/atom
Formation enthalpy at 0 K   -5.0 eV/f.u.